(1)
The following is a PBE calculation of a geometry-optimized ScTl2W structure, from Alexandria.

Output
Formation energy from the elements: 0.47 eV per atom
Final energy: -5.5324 eV/atom
Spin magnetization: 0.000 μB per atom
E above lowest polymorph: 0.08 eV/f.u.
V: 91.4 Å³/cell

a = 3.0940 Å, b = 3.0940 Å, c = 9.5473 Å
α = 90.00°, β = 90.00°, γ = 90.00°
With the nearest neighbours (Å) after each atom.
Fractional coordinates of all 4 atoms:
Sc 0.5000 0.5000 0.7165  4 W 2.91, 4 Sc 3.09
Tl 0.0000 0.0000 0.9866  4 Tl 3.09, 4 Sc 3.38
Tl 0.5000 0.5000 0.2807  4 Tl 3.09, 4 W 3.14
W 0.0000 0.0000 0.5162  4 Sc 2.91, 4 W 3.09, 4 Tl 3.14

=====

(2)
The following is a PBE calculation of a geometry-optimized ScTlW2 structure, from Alexandria.

Output
Formation energy from the elements: 1.29 eV per atom
Final energy: -7.3616 eV/atom
Spin magnetization: 0.000 μB per atom
V: 165.2 Å³/cell

a = 7.7344 Å, b = 7.7344 Å, c = 6.1264 Å
α = 50.86°, β = 50.86°, γ = 90.00°
With the nearest neighbours (Å) after each atom.
Fractional coordinates of all 8 atoms:
Sc 0.5000 0.5000 0.0000  2 Tl 2.76, 4 W 2.88
Sc 0.2500 0.7500 0.5000  2 Tl 2.76, 4 W 2.88
Tl 0.0000 0.0000 0.0000  4 W 2.76, 2 Sc 2.76
Tl 0.7500 0.2500 0.5000  4 W 2.76, 2 Sc 2.76
W 0.6367 0.1250 0.2500  2 Tl 2.76, 2 W 2.77, 2 Sc 2.88
W 0.1133 0.6250 0.2500  2 Tl 2.76, 2 W 2.77, 2 Sc 2.88
W 0.3750 0.3633 0.7500  2 Tl 2.76, 2 W 2.77, 2 Sc 2.88
W 0.8750 0.8867 0.7500  2 Tl 2.76, 2 W 2.77, 2 Sc 2.88